The following is a DFT calculation (PBE with a Hubbard U) of a geometry-optimized K2FeNiO4 structure.

It has space group Fddd (No. 70, origin choice 2), with a = 5.282 Å, b = 12.136 Å, c = 18.545 Å, α = 90.00°, β = 90.00° and γ = 90.00°. The inequivalent atoms are K at (0.125, 0.125, 0.306), Fe at (0.125, 0.125, 0.625), Ni at (0.125, 0.125, 0.125) and O at (0.109, 0.281, 0.837).

The calculated density is 2869 kg/m³. Its electronic total energy is -314.613 eV for the cell shown.